Record 1
NaTe2RhI GGA-PBE relaxed; E above lowest polymorph = 0 meV/atom; symmetry = P4/mmm; energy = -3.4340 eV/atom; uncorrected formation energy = -0.13 eV/atom
1.0
5.228 0.000 0.000
0.000 5.228 0.000
0.000 0.000 5.831
Na Te Rh I
1 2 1 1
direct
0.000 0.000 0.000
0.000 0.500 0.500
0.500 0.000 0.500
0.500 0.500 0.500
0.500 0.500 0.000

---

Record 2
NaTe2RhI GGA-PBE relaxed; E above lowest polymorph = 1126 meV/atom; symmetry = P4/mmm; energy = -2.3083 eV/atom; uncorrected formation energy = 0.99 eV/atom
1.0
5.436 0.000 0.000
0.000 5.436 0.000
0.000 0.000 5.722
Na Te Rh I
1 2 1 1
direct
0.000 0.000 0.000
0.000 0.500 0.000
0.500 0.000 0.000
0.500 0.500 0.500
0.000 0.000 0.500

---

Record 3
NaTeRhI2 GGA-PBE relaxed; E above lowest polymorph = 0 meV/atom; symmetry = P4/mmm; energy = -3.2358 eV/atom; uncorrected formation energy = -0.25 eV/atom
1.0
5.729 0.000 0.000
0.000 5.729 0.000
0.000 0.000 5.067
Na Te Rh I
1 1 1 2
direct
0.000 0.000 0.000
0.500 0.500 0.000
0.500 0.500 0.500
0.000 0.500 0.500
0.500 0.000 0.500

---

Record 4
NaRu3I GGA-PBE relaxed; E above lowest polymorph = 822 meV/atom; symmetry = Pm-3m; energy = -3.7561 eV/atom; uncorrected formation energy = 2.38 eV/atom
1.0
4.573 0.000 0.000
0.000 4.573 0.000
0.000 0.000 4.573
Na Ru I
1 3 1
direct
0.000 0.000 0.000
0.000 0.000 0.500
0.000 0.500 0.000
0.500 0.000 0.000
0.500 0.500 0.500

---

Which value of uncorrected formation energy does entry 3 give?
-0.25 eV/atom

---

Which value of uncorrected formation energy does entry 4 give?
2.38 eV/atom